Entry 1:
AcYTaO6 | PBE-GGA | relaxed

Results
SG: P312
D(E_F) (states/eV/cell): 7.41

a b c (Å): 5.6890 5.6890 5.1968
angles (deg): 90.00 90.00 120.00
With the nearest neighbours (Å) after each atom.
Sites, in units of the cell vectors:
Ac 0.0000 0.0000 0.0000  6 O 2.54
Y 0.3333 0.6667 0.5000  6 O 2.27
Ta 0.6667 0.3333 0.5000  6 O 2.01
O 0.3780 0.0338 0.7143  1 Ta 2.01
O 0.3780 0.3442 0.2857  1 Ta 2.01
O 0.6558 0.0338 0.2857  1 Ta 2.01
O 0.6558 0.6220 0.7143  1 Ta 2.01
O 0.9662 0.3442 0.7143  1 Ta 2.01
O 0.9662 0.6220 0.2857  1 Ta 2.01


Entry 2:
AcTaZnO5 | PBE-GGA | relaxed

Results
SG: C2/c
D(E_F) (states/eV/cell): 0.00

a b c (Å): 5.8969 5.8969 7.6037
angles (deg): 102.87 102.87 108.17
With the nearest neighbours (Å) after each atom.
Sites, in units of the cell vectors:
Ac 0.1681 0.8319 0.7500  7 O 2.56-2.71
Ac 0.8319 0.1681 0.2500  7 O 2.56-2.71
Ta 0.5000 0.5000 0.0000  6 O 1.99-2.03
Ta 0.5000 0.5000 0.5000  6 O 1.99-2.03
Zn 0.1855 0.8145 0.2500  4 O 1.97-1.98
Zn 0.8145 0.1855 0.7500  4 O 1.97-1.98
O 0.1496 0.2485 0.9206  1 Zn 1.98, 1 Ta 1.99
O 0.2062 0.6014 0.4134  1 Zn 1.97, 1 Ta 2.03
O 0.2485 0.1496 0.4206  1 Zn 1.98, 1 Ta 1.99
O 0.3986 0.7938 0.0866  1 Zn 1.97, 1 Ta 2.03
O 0.4390 0.5610 0.7500  2 Ta 1.99
O 0.5610 0.4390 0.2500  2 Ta 1.99
O 0.6014 0.2062 0.9134  1 Zn 1.97, 1 Ta 2.03
O 0.7515 0.8504 0.5794  1 Zn 1.98, 1 Ta 1.99
O 0.7938 0.3986 0.5866  1 Zn 1.97, 1 Ta 2.03
O 0.8504 0.7515 0.0794  1 Zn 1.98, 1 Ta 1.99


Entry 3:
AcZr2TaO8 | PBE-GGA | relaxed

Results
SG: P-1
D(E_F) (states/eV/cell): 0.00

a b c (Å): 5.0086 5.0139 6.8725
angles (deg): 89.91 89.91 88.18
With the nearest neighbours (Å) after each atom.
Sites, in units of the cell vectors:
Ac 0.0000 0.0000 0.0000  6 O 2.38-2.46
Zr 0.4987 0.4988 0.2566  6 O 2.10-2.26
Zr 0.5013 0.5012 0.7434  6 O 2.10-2.26
Ta 0.0000 0.0000 0.5000  6 O 1.99-2.10
O 0.2015 0.8000 0.7054  1 Ta 1.99, 1 Zr 2.10
O 0.2022 0.8008 0.2946  1 Ta 1.99, 1 Zr 2.10
O 0.2905 0.2922 0.4998  1 Ta 2.10, 2 Zr 2.24-2.26
O 0.3287 0.3338 0.0008  2 Zr 2.13-2.15, 1 Ac 2.38
O 0.6713 0.6662 0.9992  2 Zr 2.13-2.15, 1 Ac 2.38
O 0.7095 0.7078 0.5002  1 Ta 2.10, 2 Zr 2.24-2.26
O 0.7978 0.1992 0.7054  1 Ta 1.99, 1 Zr 2.10
O 0.7985 0.2000 0.2946  1 Ta 1.99, 1 Zr 2.10


Entry 4:
AcZrTaO6 | PBE-GGA | relaxed

Results
SG: P-31c
D(E_F) (states/eV/cell): 0.00

a b c (Å): 5.4874 5.4874 10.6334
angles (deg): 90.00 90.00 120.00
With the nearest neighbours (Å) after each atom.
Sites, in units of the cell vectors:
Ac 0.0000 0.0000 0.0000  6 O 2.56
Ac 0.0000 0.0000 0.5000  6 O 2.56
Zr 0.3333 0.6667 0.2500  6 O 2.12
Zr 0.6667 0.3333 0.7500  6 O 2.12
Ta 0.3333 0.6667 0.7500  6 O 2.01
Ta 0.6667 0.3333 0.2500  6 O 2.01
O 0.0150 0.3796 0.6444  1 Ta 2.01, 1 Zr 2.12
O 0.0150 0.6354 0.8556  1 Ta 2.01, 1 Zr 2.12
O 0.3646 0.3796 0.8556  1 Ta 2.01, 1 Zr 2.12
O 0.3646 0.9850 0.6444  1 Ta 2.01, 1 Zr 2.12
O 0.3796 0.0150 0.1444  1 Ta 2.01, 1 Zr 2.12
O 0.3796 0.3646 0.3556  1 Ta 2.01, 1 Zr 2.12
O 0.6204 0.6354 0.6444  1 Ta 2.01, 1 Zr 2.12
O 0.6204 0.9850 0.8556  1 Ta 2.01, 1 Zr 2.12
O 0.6354 0.0150 0.3556  1 Ta 2.01, 1 Zr 2.12
O 0.6354 0.6204 0.1444  1 Ta 2.01, 1 Zr 2.12
O 0.9850 0.3646 0.1444  1 Ta 2.01, 1 Zr 2.12
O 0.9850 0.6204 0.3556  1 Ta 2.01, 1 Zr 2.12


Entry 5:
AcTb2O | PBE-GGA | relaxed

Results
SG: P4/mmm
Relative energy among the computed polymorphs (eV per atom): 0.5057
D(E_F) (states/eV/cell): 4.08

a b c (Å): 3.3246 3.3246 8.9332
angles (deg): 90.00 90.00 90.00
With the nearest neighbours (Å) after each atom.
Sites, in units of the cell vectors:
Ac 0.0000 0.0000 0.0000  4 Ac 3.32
Tb 0.5000 0.5000 0.3279  4 O 2.81, 1 Tb 3.07
Tb 0.5000 0.5000 0.6721  4 O 2.81, 1 Tb 3.07
O 0.0000 0.0000 0.5000  8 Tb 2.81


Entry 6:
Ac3TbO | PBE-GGA | relaxed

Results
SG: Pm-3m
D(E_F) (states/eV/cell): 3.23

a b c (Å): 5.4076 5.4076 5.4076
angles (deg): 90.00 90.00 90.00
With the nearest neighbours (Å) after each atom.
Sites, in units of the cell vectors:
Ac 0.0000 0.0000 0.5000  2 O 2.70
Ac 0.0000 0.5000 0.0000  2 O 2.70
Ac 0.5000 0.0000 0.0000  2 O 2.70
Tb 0.5000 0.5000 0.5000  12 Ac 3.82
O 0.0000 0.0000 0.0000  6 Ac 2.70


Entry 7:
AcTbO | PBE-GGA | relaxed

Results
SG: P3m1
Relative energy among the computed polymorphs (eV per atom): 0.1233
D(E_F) (states/eV/cell): 1.73

a b c (Å): 3.7311 3.7311 6.4724
angles (deg): 90.00 90.00 120.00
With the nearest neighbours (Å) after each atom.
Sites, in units of the cell vectors:
Ac 0.0000 0.0000 0.0000  3 O 3.02
Tb 0.6667 0.3333 0.5414  3 O 2.32
O 0.3333 0.6667 0.6726  3 Tb 2.32


Entry 8:
Ac2TbO4 | PBE-GGA | relaxed

Results
SG: I4/mmm
D(E_F) (states/eV/cell): 0.58

a b c (Å): 7.3006 7.3006 7.3006
angles (deg): 144.82 144.82 50.60
With the nearest neighbours (Å) after each atom.
Sites, in units of the cell vectors:
Ac 0.1503 0.1503 0.0000  1 O 2.30
Ac 0.8497 0.8497 0.0000  1 O 2.30
Tb 0.5000 0.5000 0.0000  6 O 2.21-2.32
O 0.0000 0.5000 0.5000  2 Tb 2.21
O 0.3244 0.3244 0.0000  1 Ac 2.30, 1 Tb 2.32
O 0.5000 0.0000 0.5000  2 Tb 2.21
O 0.6756 0.6756 0.0000  1 Ac 2.30, 1 Tb 2.32


Taking the records one at a time from the top gives total energy values of -79.06; -128.21; -110.42; -167.18; -21.02; -27.22; -18.60; -53.60 eV per cell.
Taking the records one at a time from the top gives density values of 6.76; 7.91; 6.92; 7.13; 9.43; 8.99; 8.55; 8.75 g/cm3.
Taking the records one at a time from the top gives ΔE_f (raw) values of -2.9874; -2.7596; -3.1410; -3.2589; -0.6720; -1.0617; -1.6336; -2.9886 eV/atom.